This record from Alexandria describes a geometry-optimized LaMnI2O structure. The functional is GGA+U.

Structure (POSCAR):
```
LaMnI2O
1.0
6.579 0.000 0.000
0.000 6.579 0.000
0.000 0.000 4.331
I Mn O La
2 1 1 1
direct
0.000 0.500 0.000 I
0.500 0.000 0.000 I
0.500 0.500 0.500 Mn
0.000 0.000 0.500 O
0.000 0.000 0.000 La
```

Space-group type   P4/mmm, No. 123
V   37.49 A^3/atom
Energy   -5.26 eV per atom
ρ   4.1 g/cm³